[1]
# Ce4In5Hg, optimized geometry, DFT GGA-PBE
# Formation enthalpy at 0 K (meV per atom): -41
# E above lowest polymorph (eV/atom): 0.258
data_Ce4In5Hg
_chemical_formula_sum 'Ce8 In10 Hg2'
_space_group_name_H-M_alt 'P m m n'
_space_group_IT_number 59
_cell_length_a 6.536
_cell_length_b 10.966
_cell_length_c 8.163
_cell_angle_alpha 90.00
_cell_angle_beta 90.00
_cell_angle_gamma 90.00
loop_
_space_group_symop_operation_xyz
'x,y,z'
'-x,-y,-z'
'-x+1/2,-y+1/2,z'
'x+1/2,y+1/2,-z'
'x+1/2,-y,-z'
'-x+1/2,y,z'
'-x,y+1/2,-z'
'x,-y+1/2,z'
loop_
_atom_site_label
_atom_site_type_symbol
_atom_site_fract_x
_atom_site_fract_y
_atom_site_fract_z
_atom_site_occupancy
Ce1 Ce 0.028 0.250 0.183 1
Ce2 Ce 0.250 0.576 0.506 1
In1 In 0.025 0.046 0.832 1
In2 In 0.250 0.750 0.159 1
Hg1 Hg 0.250 0.250 0.545 1

[2]
# In2SeBr, optimized geometry, DFT GGA-PBE
# Uncorrected formation energy (eV/atom): -0.3295
# E above lowest polymorph (eV/atom): 0.146
data_In2SeBr
_chemical_formula_sum 'In8 Se4 Br4'
_space_group_name_H-M_alt 'F m -3 m'
_space_group_IT_number 225
_space_group_name_Hall '-F 4 2 3'
_cell_length_a 7.552
_cell_length_b 7.552
_cell_length_c 7.552
_cell_angle_alpha 90.00
_cell_angle_beta 90.00
_cell_angle_gamma 90.00
loop_
_atom_site_label
_atom_site_type_symbol
_atom_site_fract_x
_atom_site_fract_y
_atom_site_fract_z
_atom_site_occupancy
In1 In 0.250 0.250 0.250 1
Se1 Se 0.000 0.000 0.000 1
Br1 Br 0.000 0.000 0.500 1

| no. | E (eV/atom) | M_tot (μB per atom) | N(E_F) (states/eV per atom) |
| --- | --- | --- | --- |
| 1 | -3.81 | 0.48 | 2.49 |
| 2 | -2.99 | 0.00 | 0.73 |